w) {
  "formula": "LiBMoOs",
  "functional": "PBE",
  "state": "optimized geometry",
  "lattice": [[2.006, -0.038, 3.555], [2.086, 3.297, 1.202], [-1.354, 2.243, 3.131]],
  "species": ["B", "Li", "Mo", "Os"],
  "fractional_positions": [[0.500, 0.500, 0.500], [0.750, 0.750, 0.750], [0.000, 0.000, 0.000], [0.250, 0.250, 0.250]],
  "volume_a3_per_atom": 12.026,
  "mass_density_kg_m3": 10491
}

***

x) {
  "formula": "LiBMoOs",
  "functional": "PBE",
  "state": "optimized geometry",
  "lattice": [[1.016, 0.451, 3.819], [-2.821, 0.433, 2.771], [-0.697, -2.926, 2.602]],
  "species": ["B", "Li", "Mo", "Os"],
  "fractional_positions": [[0.250, 0.250, 0.250], [0.750, 0.750, 0.750], [0.000, 0.000, 0.000], [0.500, 0.500, 0.500]],
  "volume_a3_per_atom": 11.126,
  "mass_density_kg_m3": 11340
}

***

Referenced to the most stable arrangement, the calculated values in kJ/mol of atoms are w) 0.0; x) 18.9.

***

w) {
  "formula": "LiNbB4",
  "functional": "PBE",
  "state": "optimized geometry",
  "lattice": [[-1.948, 0.036, 2.320], [2.933, -0.578, 0.493], [1.202, 6.865, 0.902]],
  "species": ["B", "B", "B", "B", "Li", "Nb"],
  "fractional_positions": [[0.667, 0.333, 0.259], [0.333, 0.667, 0.259], [0.667, 0.333, 0.741], [0.333, 0.667, 0.741], [0.000, 0.000, 0.000], [0.000, 0.000, 0.500]],
  "volume_a3_per_atom": 9.312,
  "mass_density_kg_m3": 4253
}

***

x) {
  "formula": "LiNbB4",
  "functional": "PBE",
  "state": "optimized geometry",
  "lattice": [[3.286, -3.131, -0.166], [0.086, -0.906, 4.450], [-2.700, -0.407, -3.629]],
  "species": ["B", "B", "B", "B", "Li", "Nb"],
  "fractional_positions": [[0.583, 0.255, 0.329], [0.074, 0.745, 0.329], [0.926, 0.255, 0.671], [0.417, 0.745, 0.671], [0.500, 0.500, 0.000], [0.000, 0.000, 0.000]],
  "volume_a3_per_atom": 8.968,
  "mass_density_kg_m3": 4416
}

***

y) {
  "formula": "LiNbB4",
  "functional": "PBE",
  "state": "optimized geometry",
  "lattice": [[5.967, 0.000, 0.000], [0.000, 11.517, 0.000], [0.000, 0.000, 3.534]],
  "species": ["B", "B", "B", "B", "B", "B", "B", "B", "B", "B", "B", "B", "B", "B", "B", "B", "Li", "Li", "Li", "Li", "Nb", "Nb", "Nb", "Nb"],
  "fractional_positions": [[0.374, 0.032, 0.500], [0.878, 0.051, 0.500], [0.313, 0.188, 0.500], [0.984, 0.199, 0.500], [0.484, 0.301, 0.500], [0.813, 0.312, 0.500], [0.378, 0.449, 0.500], [0.874, 0.468, 0.500], [0.126, 0.532, 0.500], [0.622, 0.551, 0.500], [0.187, 0.688, 0.500], [0.516, 0.699, 0.500], [0.016, 0.801, 0.500], [0.687, 0.812, 0.500], [0.122, 0.949, 0.500], [0.626, 0.968, 0.500], [0.628, 0.145, 0.000], [0.128, 0.355, 0.000], [0.872, 0.645, 0.000], [0.372, 0.855, 0.000], [0.139, 0.092, 0.000], [0.639, 0.408, 0.000], [0.361, 0.592, 0.000], [0.861, 0.908, 0.000]],
  "volume_a3_per_atom": 10.118,
  "mass_density_kg_m3": 3914
}

***

Referenced to the most stable arrangement, the calculated values in kJ/mol of atoms are w) 0.0; x) 3.6; y) 36.9.

***

w) {
  "formula": "LiNbNiB",
  "functional": "PBE",
  "state": "optimized geometry",
  "lattice": [[0.000, 2.801, 2.801], [2.801, 0.000, 2.801], [2.801, 2.801, 0.000]],
  "species": ["B", "Li", "Nb", "Ni"],
  "fractional_positions": [[0.000, 0.000, 0.000], [0.500, 0.500, 0.500], [0.250, 0.250, 0.250], [0.750, 0.750, 0.750]],
  "volume_a3_per_atom": 10.988,
  "mass_density_kg_m3": 6398
}

***

x) {
  "formula": "LiNbNiB",
  "functional": "PBE",
  "state": "optimized geometry",
  "lattice": [[0.000, 2.849, 2.849], [2.849, 0.000, 2.849], [2.849, 2.849, 0.000]],
  "species": ["B", "Li", "Nb", "Ni"],
  "fractional_positions": [[0.000, 0.000, 0.000], [0.250, 0.250, 0.250], [0.750, 0.750, 0.750], [0.500, 0.500, 0.500]],
  "volume_a3_per_atom": 11.563,
  "mass_density_kg_m3": 6080
}

***

Referenced to the most stable arrangement, the calculated values in kJ/mol of atoms are w) 5.3; x) 0.0.